1.
The following is a PBE calculation of a geometry-optimized BaTlIn2 structure, from Alexandria via LeMat-Bulk.

Crystal system = orthorhombic
Energy of formation from the pure elements = -0.20 eV per atom
Offset from the most stable computed form = 0.492 eV per formula unit

```
BaTlIn2
1.0
-4.387 -1.515 1.859
1.232 -6.387 -2.297
1.276 2.233 4.832
Ba Tl In
1 1 2
direct
0.500 0.779 0.558
0.000 0.478 0.956
0.000 0.082 0.165
0.500 0.264 0.527
```

---

2.
The following is a PBE calculation of a geometry-optimized BaTlIn structure, from Alexandria via LeMat-Bulk.

Crystal system = orthorhombic
Energy of formation from the pure elements = -0.39 eV per atom

```
BaTlIn
1.0
5.138 0.000 -0.001
0.000 5.130 0.002
0.002 -0.005 8.256
Tl Ba In
2 2 2
direct
0.446 0.510 0.067
0.446 0.011 0.306
0.446 0.010 0.758
0.946 0.511 0.378
0.946 0.510 0.841
0.946 0.010 0.067
```

---

3.
The following is a PBE calculation of a geometry-optimized Ba3Tl2In9 structure, from Alexandria via LeMat-Bulk.

Crystal system = orthorhombic
Energy of formation from the pure elements = -0.34 eV per atom

```
Ba3Tl2In9
1.0
-1.241 -1.231 -4.736
-9.019 -3.932 0.695
-6.579 6.819 -2.740
Ba Tl In
3 2 9
direct
0.000 0.000 0.000
0.685 0.315 0.315
0.315 0.685 0.685
0.500 0.297 0.703
0.500 0.703 0.297
0.000 0.500 0.500
0.662 0.966 0.710
0.338 0.034 0.290
0.662 0.710 0.966
0.338 0.290 0.034
0.849 0.879 0.423
0.151 0.121 0.577
0.849 0.423 0.879
0.151 0.577 0.121
```

---

4.
The following is a PBE calculation of a geometry-optimized BaTlIn3 structure, from Alexandria via LeMat-Bulk.

Crystal system = tetragonal
Energy of formation from the pure elements = -0.31 eV per atom
Offset from the most stable computed form = 0.000 eV per formula unit

```
BaTlIn3
1.0
5.176 0.000 0.000
0.000 5.176 0.000
2.588 2.588 6.024
Ba Tl In
1 1 3
direct
0.000 0.000 0.000
0.750 0.250 0.500
0.381 0.381 0.238
0.619 0.619 0.762
0.250 0.750 0.500
```

---

5.
The following is a PBE calculation of a geometry-optimized BaTlIn structure, from Alexandria via LeMat-Bulk.

Crystal system = hexagonal
Energy of formation from the pure elements = 0.19 eV per atom

```
BaTlIn
1.0
1.649 3.951 4.276
-5.452 0.441 -2.586
-4.292 -6.755 7.897
Tl Ba In
2 2 2
direct
0.000 0.000 0.000
0.000 0.000 0.500
0.333 0.667 0.250
0.667 0.333 0.750
0.000 0.000 0.250
0.000 0.000 0.750
```

---

6.
The following is a PBE calculation of a geometry-optimized BaTl15In4 structure, from Alexandria via LeMat-Bulk.

Crystal system = tetragonal
Energy of formation from the pure elements = -0.04 eV per atom

```
BaTl15In4
1.0
-4.265 -0.316 3.579
-3.499 -0.894 -4.249
2.884 -19.447 1.718
Ba Tl In
1 15 4
direct
0.000 0.000 0.000
0.500 0.500 0.000
0.500 0.500 0.209
0.500 0.500 0.402
0.500 0.500 0.598
0.500 0.500 0.791
0.500 0.000 0.115
0.500 0.000 0.305
0.500 0.000 0.500
0.500 0.000 0.695
0.500 0.000 0.885
0.000 0.500 0.115
0.000 0.500 0.305
0.000 0.500 0.500
0.000 0.500 0.695
0.000 0.500 0.885
0.000 0.000 0.205
0.000 0.000 0.402
0.000 0.000 0.598
0.000 0.000 0.795
```

---

7.
The following is a PBE calculation of a geometry-optimized BaTl4In structure, from Alexandria via LeMat-Bulk.

Crystal system = monoclinic
Energy of formation from the pure elements = -0.15 eV per atom
Offset from the most stable computed form = 0.000 eV per formula unit

```
BaTl4In
1.0
5.907 0.256 0.973
1.598 5.604 3.194
0.140 0.338 6.250
Ba Tl In
1 4 1
direct
0.500 0.500 0.000
0.000 0.306 0.387
0.500 0.160 0.680
0.000 0.694 0.613
0.500 0.840 0.320
0.000 0.000 0.000
```

---

8.
The following is a PBE calculation of a geometry-optimized Ba2TlIn2 structure, from Alexandria via LeMat-Bulk.

Crystal system = tetragonal
Energy of formation from the pure elements = -0.19 eV per atom
Offset from the most stable computed form = 1.131 eV per formula unit

```
Ba2TlIn2
1.0
-8.868 4.704 1.322
-1.646 -5.455 8.370
1.762 2.725 2.122
Tl Ba In
2 4 4
direct
0.000 0.000 0.000
0.500 0.500 0.000
0.312 0.812 0.000
0.812 0.688 0.000
0.688 0.188 0.000
0.188 0.312 0.000
0.107 0.607 0.500
0.607 0.893 0.500
0.893 0.393 0.500
0.393 0.107 0.500
```